DyGaSnHg | PBE-GGA | optimized geometry

Calculated values
Relative energy among the computed polymorphs   198.6 meV per atom
Calculated total energy   -0.237 Ry per atom
Space-group type   No. 216
E_form   -245 meV/atom

Unit cell a=5.1512 b=5.1512 c=5.1512 alpha=60.00 beta=60.00 gamma=60.00
Sites, in units of the cell vectors:
Ga 0.0000 0.0000 0.0000
Hg 0.5000 0.5000 0.5000
Sn 0.2500 0.2500 0.2500
Dy 0.7500 0.7500 0.7500

Mg2PbCl | PBE-GGA | optimized geometry

Calculated values
Relative energy among the computed polymorphs   177.3 meV per atom
Calculated total energy   -0.189 Ry per atom
Space-group type   No. 123
Energy relative to the elements, uncorrected   -383 meV/atom

Unit cell a=3.5078 b=3.5078 c=8.0367 alpha=90.00 beta=90.00 gamma=90.00
Sites, in units of the cell vectors:
Cl 0.5000 0.5000 0.7500
Mg 0.0000 0.0000 0.9972
Mg 0.0000 0.0000 0.5028
Pb 0.5000 0.5000 0.2500

Cs2Cd15Ag2 | PBE-GGA | optimized geometry

Calculated values
Calculated total energy   -0.082 Ry per atom
Space-group type   No. 166
E_form   -8 meV/atom

Unit cell a=7.9562 b=7.9562 c=7.9562 alpha=84.68 beta=84.68 gamma=84.68
Sites, in units of the cell vectors:
Cs 0.3645 0.3645 0.3645
Cs 0.6355 0.6355 0.6355
Cd 0.5000 0.0000 0.0000
Cd 0.0000 0.0000 0.5000
Cd 0.0000 0.5000 0.0000
Cd 0.0000 0.7168 0.2832
Cd 0.7168 0.2832 0.0000
Cd 0.2832 0.0000 0.7168
Cd 0.2832 0.7168 0.0000
Cd 0.7168 0.0000 0.2832
Cd 0.0000 0.2832 0.7168
Cd 0.1058 0.6594 0.6594
Cd 0.6594 0.6594 0.1058
Cd 0.6594 0.1058 0.6594
Cd 0.8942 0.3406 0.3406
Cd 0.3406 0.3406 0.8942
Cd 0.3406 0.8942 0.3406
Ag 0.0992 0.0992 0.0992
Ag 0.9008 0.9008 0.9008

Rb2BaNiBr8 | PBE-GGA | optimized geometry

Calculated values
Calculated total energy   -0.227 Ry per atom
Space-group type   No. 164
Energy relative to the elements, uncorrected   -1171 meV/atom

Unit cell a=7.4108 b=7.4108 c=8.4110 alpha=90.00 beta=90.00 gamma=120.00
Sites, in units of the cell vectors:
Rb 0.6667 0.3333 0.1458
Rb 0.3333 0.6667 0.8542
Ba 0.0000 0.0000 0.5000
Ni 0.0000 0.0000 0.0000
Br 0.8472 0.6944 0.8259
Br 0.3056 0.1528 0.8259
Br 0.8472 0.1528 0.8259
Br 0.1528 0.3056 0.1741
Br 0.6944 0.8472 0.1741
Br 0.1528 0.8472 0.1741
Br 0.6667 0.3333 0.5382
Br 0.3333 0.6667 0.4618

ZnN | PBE-GGA | optimized geometry

Calculated values
Relative energy among the computed polymorphs   469.8 meV per atom
Calculated total energy   -0.302 Ry per atom
Space-group type   No. 176
Energy relative to the elements, uncorrected   697 meV/atom

Unit cell a=7.7288 b=7.7288 c=3.4150 alpha=90.00 beta=90.00 gamma=120.00
Sites, in units of the cell vectors:
Zn 0.9128 0.3214 0.2500
Zn 0.5914 0.9128 0.7500
Zn 0.6786 0.5914 0.2500
Zn 0.0872 0.6786 0.7500
Zn 0.4086 0.0872 0.2500
Zn 0.3214 0.4086 0.7500
N 0.6704 0.0638 0.2500
N 0.6066 0.6704 0.7500
N 0.9362 0.6066 0.2500
N 0.3296 0.9362 0.7500
N 0.3934 0.3296 0.2500
N 0.0638 0.3934 0.7500

TaPSe3 | PBE-GGA | optimized geometry

Calculated values
Relative energy among the computed polymorphs   784.0 meV per atom
Calculated total energy   -0.377 Ry per atom
Space-group type   No. 221
Energy relative to the elements, uncorrected   407 meV/atom

Unit cell a=5.0399 b=5.0399 c=5.0399 alpha=90.00 beta=90.00 gamma=90.00
Sites, in units of the cell vectors:
P 0.5000 0.5000 0.5000
Se 0.0000 0.5000 0.0000
Se 0.0000 0.0000 0.5000
Se 0.5000 0.0000 0.0000
Ta 0.0000 0.0000 0.0000

Nd10YHo4 | PBE-GGA | optimized geometry

Calculated values
Calculated total energy   -0.323 Ry per atom
Space-group type   No. 87
E_form   429 meV/atom

Unit cell a=10.9043 b=8.9451 c=8.9451 alpha=68.19 beta=52.45 gamma=52.45
Sites, in units of the cell vectors:
Nd 0.2500 0.5000 0.5000
Nd 0.7135 0.3471 0.8927
Nd 0.9394 0.1073 0.3471
Nd 0.3938 0.8927 0.6529
Nd 0.9533 0.6529 0.1073
Nd 0.2865 0.6529 0.1073
Nd 0.7500 0.5000 0.5000
Nd 0.0467 0.3471 0.8927
Nd 0.6062 0.1073 0.3471
Nd 0.0606 0.8927 0.6529
Y 0.0000 0.0000 0.0000
Ho 0.5563 0.6638 0.2235
Ho 0.7799 0.7765 0.6638
Ho 0.2201 0.2235 0.3362
Ho 0.4437 0.3362 0.7765

UO2 | PBE-GGA | optimized geometry

Calculated values
Calculated total energy   -0.751 Ry per atom
Space-group type   No. 136
Energy relative to the elements, uncorrected   -3148 meV/atom

Unit cell a=5.1404 b=5.1404 c=3.5896 alpha=90.00 beta=90.00 gamma=90.00
Sites, in units of the cell vectors:
U 0.0000 0.0000 0.0000
U 0.5000 0.5000 0.5000
O 0.3087 0.3087 0.0000
O 0.6913 0.6913 0.0000
O 0.8087 0.1913 0.5000
O 0.1913 0.8087 0.5000

Repeat the fourth record exactly.
Rb2BaNiBr8 | PBE-GGA | optimized geometry

Calculated values
Calculated total energy   -0.227 Ry per atom
Space-group type   No. 164
Energy relative to the elements, uncorrected   -1171 meV/atom

Unit cell a=7.4108 b=7.4108 c=8.4110 alpha=90.00 beta=90.00 gamma=120.00
Sites, in units of the cell vectors:
Rb 0.6667 0.3333 0.1458
Rb 0.3333 0.6667 0.8542
Ba 0.0000 0.0000 0.5000
Ni 0.0000 0.0000 0.0000
Br 0.8472 0.6944 0.8259
Br 0.3056 0.1528 0.8259
Br 0.8472 0.1528 0.8259
Br 0.1528 0.3056 0.1741
Br 0.6944 0.8472 0.1741
Br 0.1528 0.8472 0.1741
Br 0.6667 0.3333 0.5382
Br 0.3333 0.6667 0.4618

The highest calculated total energy belongs to which entry?
Cs2Cd15Ag2

Look up the calculated total energy of the sixth one.
-0.377 Ry per atom

The lowest calculated total energy belongs to which entry?
UO2